Pr8Zn2Au | the Alexandria database | GGA-PBE | relaxed; magnetization = 0.000 μB/atom; V = 30.6 Å³/atom; formation energy = -212 meV per atom; excess energy over the best structure of this formula in the dataset = 0.000 eV/atom
1.0
9.334 -2.636 0.000
9.334 2.636 0.000
-1.469 0.000 6.843
Pr Zn Au
8 2 1
Direct
0.028 0.028 0.268
0.200 0.200 0.818
0.337 0.337 0.538
0.409 0.409 0.048
0.591 0.591 0.952
0.663 0.663 0.462
0.800 0.800 0.182
0.972 0.972 0.732
0.192 0.192 0.241
0.808 0.808 0.759
0.500 0.500 0.500